Entry 1:
This record from Alexandria via LeMat-Bulk describes crystalline Pm12Rh6Pb at its relaxed geometry. The functional is PBE-GGA.

Lattice parameters (Å, degrees): 8.804 8.804 8.804 109.47 109.47 109.47
Sites, in units of the cell vectors:
1 Pm 0.118 0.305 0.813
2 Pm 0.187 0.492 0.305
3 Pm 0.187 0.882 0.695
4 Pm 0.305 0.187 0.492
5 Pm 0.305 0.813 0.118
6 Pm 0.492 0.305 0.187
7 Pm 0.508 0.695 0.813
8 Pm 0.695 0.187 0.882
9 Pm 0.695 0.813 0.508
10 Pm 0.813 0.118 0.305
11 Pm 0.813 0.508 0.695
12 Pm 0.882 0.695 0.187
13 Rh 0.131 0.500 0.631
14 Rh 0.369 0.869 0.500
15 Rh 0.500 0.369 0.869
16 Rh 0.500 0.631 0.131
17 Rh 0.631 0.131 0.500
18 Rh 0.869 0.500 0.369
19 Pb 0.000 0.000 0.000

Computed properties:
* excess energy over the best structure of this formula in the dataset: 0 meV per atom
* DFT total energy: -6.066 eV/atom
* space group: Im-3, No. 204
* ΔH_f (0 K): -0.549 eV per atom

---

Entry 2:
This record from Alexandria via LeMat-Bulk describes crystalline La4Pr2Nd3 at its relaxed geometry. The functional is PBE-GGA.

Lattice parameters (Å, degrees): 8.303 8.303 8.290 107.51 107.51 36.97
Sites, in units of the cell vectors:
1 La 0.055 0.055 0.333
2 La 0.277 0.277 0.667
3 La 0.723 0.723 0.333
4 La 0.945 0.945 0.667
5 Pr 0.166 0.166 0.000
6 Pr 0.834 0.834 0.000
7 Nd 0.389 0.389 0.332
8 Nd 0.500 0.500 0.000
9 Nd 0.611 0.611 0.668

Computed properties:
* excess energy over the best structure of this formula in the dataset: 0 meV per atom
* DFT total energy: -4.830 eV/atom
* space group: C2/m, No. 12
* ΔH_f (0 K): 0.011 eV per atom

---

Entry 3:
This record from Alexandria via LeMat-Bulk describes crystalline Tb2CePmP4 at its relaxed geometry. The functional is PBE-GGA.

Lattice parameters (Å, degrees): 7.035 4.068 7.045 90.00 109.41 90.00
Sites, in units of the cell vectors:
1 Tb 0.000 0.000 0.000
2 Tb 0.000 0.500 0.500
3 Ce 0.500 0.000 0.500
4 Pm 0.500 0.500 0.000
5 P 0.246 0.000 0.745
6 P 0.247 0.500 0.252
7 P 0.753 0.500 0.748
8 P 0.754 0.000 0.255

Computed properties:
* DFT total energy: -6.774 eV/atom
* space group: P2/m, No. 10
* ΔH_f (0 K): -1.576 eV per atom

---

Entry 4:
This record from Alexandria via LeMat-Bulk describes crystalline Al2TeSe at its relaxed geometry. The functional is PBE-GGA.

Lattice parameters (Å, degrees): 5.002 5.002 7.415 124.78 124.78 43.54
Sites, in units of the cell vectors:
1 Al 0.000 0.000 0.000
2 Al 0.604 0.604 0.392
3 Te 0.802 0.802 0.196
4 Se 0.300 0.300 0.697

Computed properties:
* excess energy over the best structure of this formula in the dataset: 145 meV per atom
* DFT total energy: -3.733 eV/atom
* space group: Cm, No. 8
* energy relative to the elements, uncorrected: -0.20 eV/atom

---

Entry 5:
This record from Alexandria via LeMat-Bulk describes crystalline La8Nd3Er2 at its relaxed geometry. The functional is PBE-GGA.

Lattice parameters (Å, degrees): 9.012 9.012 6.259 106.75 106.75 83.12
Sites, in units of the cell vectors:
1 La 0.052 0.052 0.294
2 La 0.066 0.583 0.827
3 La 0.355 0.355 0.444
4 La 0.417 0.934 0.173
5 La 0.583 0.066 0.827
6 La 0.645 0.645 0.556
7 La 0.934 0.417 0.173
8 La 0.948 0.948 0.706
9 Nd 0.252 0.748 0.500
10 Nd 0.500 0.500 0.000
11 Nd 0.748 0.252 0.500
12 Er 0.212 0.212 0.842
13 Er 0.788 0.788 0.158

Computed properties:
* excess energy over the best structure of this formula in the dataset: 0 meV per atom
* DFT total energy: -4.693 eV/atom
* space group: C2/m, No. 12
* ΔH_f (0 K): 0.142 eV per atom

---

Entry 6:
This record from Alexandria via LeMat-Bulk describes crystalline KSn at its relaxed geometry. The functional is PBE-GGA.

Lattice parameters (Å, degrees): 5.670 5.670 5.670 60.00 60.00 60.00
Sites, in units of the cell vectors:
1 K 0.000 0.000 0.000
2 Sn 0.750 0.750 0.750

Computed properties:
* DFT total energy: -1.724 eV/atom
* space group: F-43m, No. 216
* ΔH_f (0 K): 0.826 eV per atom

---

Entry 7:
This record from Alexandria via LeMat-Bulk describes crystalline YZn2Os at its relaxed geometry. The functional is PBE-GGA.

Lattice parameters (Å, degrees): 5.035 5.035 5.035 131.10 131.10 71.65
Sites, in units of the cell vectors:
1 Y 0.000 0.000 0.000
2 Zn 0.250 0.750 0.500
3 Zn 0.500 0.500 0.000
4 Os 0.750 0.250 0.500

Computed properties:
* excess energy over the best structure of this formula in the dataset: 206 meV per atom
* DFT total energy: -4.979 eV/atom
* space group: I-4m2, No. 119
* ΔH_f (0 K): 0.082 eV per atom

---

Entry 8:
This record from Alexandria via LeMat-Bulk describes crystalline KVBS2 at its relaxed geometry. The functional is PBE-GGA.

Lattice parameters (Å, degrees): 4.542 4.542 6.670 90.00 90.00 90.00
Sites, in units of the cell vectors:
1 K 0.000 0.000 0.000
2 V 0.000 0.000 0.500
3 B 0.500 0.500 0.000
4 S 0.000 0.500 0.500
5 S 0.500 0.000 0.500

Computed properties:
* DFT total energy: -4.284 eV/atom
* space group: P4/mmm, No. 123
* energy relative to the elements, uncorrected: 0.75 eV/atom

---

Entry 9:
This record from Alexandria via LeMat-Bulk describes crystalline TbGa2As at its relaxed geometry. The functional is PBE-GGA.

Lattice parameters (Å, degrees): 4.208 4.208 4.597 90.00 90.00 90.00
Sites, in units of the cell vectors:
1 Tb 0.000 0.000 0.000
2 Ga 0.000 0.500 0.500
3 Ga 0.500 0.000 0.500
4 As 0.500 0.500 0.000

Computed properties:
* DFT total energy: -4.408 eV/atom
* space group: P4/mmm, No. 123
* ΔH_f (0 K): -0.575 eV per atom

---

Entry 10:
This record from Alexandria via LeMat-Bulk describes crystalline Nb6GaNi at its relaxed geometry. The functional is PBE-GGA.

Lattice parameters (Å, degrees): 5.151 5.153 5.156 89.94 89.98 89.97
Sites, in units of the cell vectors:
1 Nb 0.001 0.255 0.001
2 Nb 0.255 0.500 0.503
3 Nb 0.497 0.999 0.245
4 Nb 0.503 0.001 0.755
5 Nb 0.745 0.500 0.497
6 Nb 0.999 0.745 0.999
7 Ga 0.000 0.000 0.500
8 Ni 0.500 0.500 0.000

Computed properties:
* DFT total energy: -8.777 eV/atom
* space group: P-1, No. 2
* ΔH_f (0 K): -0.123 eV per atom

---

Entry 11:
This record from Alexandria via LeMat-Bulk describes crystalline CaLaNdGd at its relaxed geometry. The functional is PBE-GGA.

Lattice parameters (Å, degrees): 5.899 5.899 5.899 60.00 60.00 60.00
Sites, in units of the cell vectors:
1 Ca 0.000 0.000 0.000
2 La 0.250 0.250 0.250
3 Nd 0.750 0.750 0.750
4 Gd 0.500 0.500 0.500

Computed properties:
* DFT total energy: -6.335 eV/atom
* space group: F-43m, No. 216
* ΔH_f (0 K): 0.109 eV per atom

---

Entry 12:
This record from Alexandria via LeMat-Bulk describes crystalline LiYGeAu at its relaxed geometry. The functional is PBE-GGA.

Lattice parameters (Å, degrees): 4.838 4.838 4.838 60.00 60.00 60.00
Sites, in units of the cell vectors:
1 Li 0.000 0.000 0.000
2 Y 0.500 0.500 0.500
3 Ge 0.750 0.750 0.750
4 Au 0.250 0.250 0.250

Computed properties:
* DFT total energy: -4.709 eV/atom
* space group: F-43m, No. 216
* ΔH_f (0 K): -0.641 eV per atom

---

Entry 13:
This record from Alexandria via LeMat-Bulk describes crystalline Rb2Pd3S4 at its relaxed geometry. The functional is PBE-GGA.

Lattice parameters (Å, degrees): 14.678 13.959 6.311 83.73 70.97 25.30
Sites, in units of the cell vectors:
1 Rb 0.047 0.047 0.203
2 Rb 0.203 0.203 0.047
3 Rb 0.797 0.797 0.953
4 Rb 0.953 0.953 0.797
5 Pd 0.126 0.126 0.624
6 Pd 0.375 0.375 0.375
7 Pd 0.376 0.376 0.874
8 Pd 0.624 0.624 0.126
9 Pd 0.625 0.625 0.625
10 Pd 0.874 0.874 0.376
11 S 0.157 0.480 0.262
12 S 0.262 0.600 0.157
13 S 0.400 0.738 0.520
14 S 0.480 0.157 0.600
15 S 0.520 0.843 0.400
16 S 0.600 0.262 0.480
17 S 0.738 0.400 0.843
18 S 0.843 0.520 0.738

Computed properties:
* DFT total energy: -4.506 eV/atom
* space group: Fddd, No. 70
* energy relative to the elements, uncorrected: -0.73 eV/atom

---

Entry 14:
This record from Alexandria via LeMat-Bulk describes crystalline LiIr2Br at its relaxed geometry. The functional is PBE-GGA.

Lattice parameters (Å, degrees): 3.136 3.136 5.986 90.00 90.00 90.00
Sites, in units of the cell vectors:
1 Li 0.000 0.000 0.000
2 Ir 0.500 0.500 0.222
3 Ir 0.500 0.500 0.778
4 Br 0.000 0.000 0.500

Computed properties:
* excess energy over the best structure of this formula in the dataset: 583 meV per atom
* DFT total energy: -4.644 eV/atom
* space group: P4/mmm, No. 123
* energy relative to the elements, uncorrected: 0.68 eV/atom

---

Entry 15:
This record from Alexandria via LeMat-Bulk describes crystalline AlInPb2 at its relaxed geometry. The functional is PBE-GGA.

Lattice parameters (Å, degrees): 6.250 6.250 3.450 100.55 100.55 118.40
Sites, in units of the cell vectors:
1 Al 0.000 0.000 0.000
2 In 0.500 0.500 0.000
3 Pb 0.000 0.500 0.500
4 Pb 0.500 0.000 0.500

Computed properties:
* excess energy over the best structure of this formula in the dataset: 63 meV per atom
* DFT total energy: -3.280 eV/atom
* space group: C2/m, No. 12
* ΔH_f (0 K): 0.194 eV per atom

---

Entry 16:
This record from Alexandria via LeMat-Bulk describes crystalline GaSn2Au at its relaxed geometry. The functional is PBE-GGA.

Lattice parameters (Å, degrees): 6.434 6.434 6.434 40.14 40.14 40.14
Sites, in units of the cell vectors:
1 Ga 0.000 0.000 0.000
2 Sn 0.574 0.574 0.574
3 Sn 0.758 0.758 0.758
4 Au 0.164 0.164 0.164

Computed properties:
* DFT total energy: -3.628 eV/atom
* space group: R3m, No. 160
* ΔH_f (0 K): -0.051 eV per atom

---

Entry 17:
This record from Alexandria via LeMat-Bulk describes crystalline RbY2MgTe4 at its relaxed geometry. The functional is PBE-GGA.

Lattice parameters (Å, degrees): 8.057 8.057 15.843 90.00 90.00 147.70
Sites, in units of the cell vectors:
1 Rb 0.119 0.881 0.750
2 Rb 0.881 0.119 0.250
3 Y 0.375 0.625 0.555
4 Y 0.375 0.625 0.945
5 Y 0.625 0.375 0.055
6 Y 0.625 0.375 0.445
7 Mg 0.163 0.837 0.250
8 Mg 0.837 0.163 0.750
9 Te 0.000 0.000 0.000
10 Te 0.000 0.000 0.500
11 Te 0.262 0.738 0.106
12 Te 0.262 0.738 0.394
13 Te 0.440 0.560 0.750
14 Te 0.560 0.440 0.250
15 Te 0.738 0.262 0.606
16 Te 0.738 0.262 0.894

Computed properties:
* DFT total energy: -4.694 eV/atom
* space group: Cmcm, No. 63
* energy relative to the elements, uncorrected: -1.19 eV/atom

---

Entry 18:
This record from Alexandria via LeMat-Bulk describes crystalline Pr2Ga4Cu3Ru at its relaxed geometry. The functional is PBE-GGA.

Lattice parameters (Å, degrees): 4.191 4.191 10.455 90.00 90.00 90.00
Sites, in units of the cell vectors:
1 Pr 0.000 0.500 0.250
2 Pr 0.500 0.000 0.750
3 Ga 0.000 0.000 0.000
4 Ga 0.000 0.500 0.631
5 Ga 0.500 0.000 0.369
6 Ga 0.500 0.500 0.000
7 Cu 0.000 0.500 0.868
8 Cu 0.500 0.000 0.132
9 Cu 0.500 0.500 0.500
10 Ru 0.000 0.000 0.500

Computed properties:
* DFT total energy: -4.752 eV/atom
* space group: P-4m2, No. 115
* ΔH_f (0 K): -0.429 eV per atom

---

Entry 19:
This record from Alexandria via LeMat-Bulk describes crystalline Cs3Sr2Br5Cl2 at its relaxed geometry. The functional is PBE-GGA.

Lattice parameters (Å, degrees): 15.257 15.257 15.257 157.21 157.21 32.44
Sites, in units of the cell vectors:
1 Cs 0.000 0.000 0.000
2 Cs 0.184 0.184 0.000
3 Cs 0.816 0.816 0.000
4 Sr 0.396 0.396 0.000
5 Sr 0.604 0.604 0.000
6 Br 0.099 0.599 0.500
7 Br 0.401 0.901 0.500
8 Br 0.500 0.500 0.000
9 Br 0.599 0.099 0.500
10 Br 0.901 0.401 0.500
11 Cl 0.300 0.300 0.000
12 Cl 0.700 0.700 0.000

Computed properties:
* DFT total energy: -3.528 eV/atom
* space group: I4/mmm, No. 139
* energy relative to the elements, uncorrected: -2.03 eV/atom

---

Entry 20:
This record from Alexandria via LeMat-Bulk describes crystalline TaReAg2 at its relaxed geometry. The functional is PBE-GGA.

Lattice parameters (Å, degrees): 2.733 4.540 5.395 90.00 90.00 90.00
Sites, in units of the cell vectors:
1 Ta 0.000 0.000 0.000
2 Re 0.000 0.000 0.500
3 Ag 0.500 0.500 0.253
4 Ag 0.500 0.500 0.747

Computed properties:
* excess energy over the best structure of this formula in the dataset: 278 meV per atom
* DFT total energy: -7.000 eV/atom
* space group: Pmmm, No. 47
* ΔH_f (0 K): 0.501 eV per atom

---

Entry 21:
This record from Alexandria via LeMat-Bulk describes crystalline Zr2TiBSb at its relaxed geometry. The functional is PBE-GGA.

Lattice parameters (Å, degrees): 5.281 5.281 4.916 90.00 90.00 90.00
Sites, in units of the cell vectors:
1 Zr 0.000 0.500 0.000
2 Zr 0.500 0.000 0.000
3 Ti 0.000 0.000 0.500
4 B 0.500 0.500 0.500
5 Sb 0.000 0.000 0.000

Computed properties:
* excess energy over the best structure of this formula in the dataset: 294 meV per atom
* DFT total energy: -5.568 eV/atom
* space group: P4/mmm, No. 123
* energy relative to the elements, uncorrected: 1.59 eV/atom

---

Entry 22:
This record from Alexandria via LeMat-Bulk describes crystalline Ho2SbPd at its relaxed geometry. The functional is PBE-GGA.

Lattice parameters (Å, degrees): 4.996 4.996 3.845 90.00 90.00 90.00
Sites, in units of the cell vectors:
1 Ho 0.000 0.500 0.000
2 Ho 0.500 0.000 0.000
3 Sb 0.000 0.000 0.500
4 Pd 0.500 0.500 0.500

Computed properties:
* DFT total energy: -5.432 eV/atom
* space group: P4/mmm, No. 123
* energy relative to the elements, uncorrected: -0.81 eV/atom

---

Entry 23:
This record from Alexandria via LeMat-Bulk describes crystalline Er5OsPb4 at its relaxed geometry. The functional is PBE-GGA.

Lattice parameters (Å, degrees): 7.509 7.509 7.509 99.47 99.47 132.15
Sites, in units of the cell vectors:
1 Er 0.000 0.000 0.000
2 Er 0.359 0.717 0.869
3 Er 0.489 0.359 0.642
4 Er 0.717 0.848 0.358
5 Er 0.848 0.489 0.131
6 Os 0.519 0.519 0.000
7 Pb 0.041 0.776 0.607
8 Pb 0.169 0.434 0.393
9 Pb 0.434 0.041 0.264
10 Pb 0.776 0.169 0.736

Computed properties:
* DFT total energy: -5.103 eV/atom
* space group: I4, No. 79
* ΔH_f (0 K): -0.216 eV per atom

---

Entry 24:
This record from Alexandria via LeMat-Bulk describes crystalline Fe2Mo at its relaxed geometry. The functional is PBE-GGA.

Lattice parameters (Å, degrees): 4.686 4.686 15.442 90.00 90.00 120.00
Sites, in units of the cell vectors:
1 Fe 0.000 0.500 0.000
2 Fe 0.000 0.500 0.500
3 Fe 0.163 0.326 0.250
4 Fe 0.163 0.837 0.250
5 Fe 0.326 0.163 0.750
6 Fe 0.333 0.667 0.128
7 Fe 0.333 0.667 0.372
8 Fe 0.500 0.000 0.000
9 Fe 0.500 0.000 0.500
10 Fe 0.500 0.500 0.000
11 Fe 0.500 0.500 0.500
12 Fe 0.667 0.333 0.628
13 Fe 0.667 0.333 0.872
14 Fe 0.674 0.837 0.250
15 Fe 0.837 0.163 0.750
16 Fe 0.837 0.674 0.750
17 Mo 0.000 0.000 0.092
18 Mo 0.000 0.000 0.408
19 Mo 0.000 0.000 0.592
20 Mo 0.000 0.000 0.908
21 Mo 0.333 0.667 0.657
22 Mo 0.333 0.667 0.843
23 Mo 0.667 0.333 0.157
24 Mo 0.667 0.333 0.343

Computed properties:
* DFT total energy: -9.244 eV/atom
* space group: P6_3/mmc, No. 194
* ΔH_f (0 K): 0.008 eV per atom